1.
# PBE RbAcCdSe3, optimized geometry
data_RbAcCdSe3
_chemical_formula_sum 'Rb2 Ac2 Cd2 Se6'
_cell_length_a 9.630
_cell_length_b 4.543
_cell_length_c 10.523
_cell_angle_alpha 90.00
_cell_angle_beta 104.38
_cell_angle_gamma 90.00
_symmetry_space_group_name_H-M 'P 1 21/m 1'
_symmetry_Int_Tables_number 11
_symmetry_space_group_name_Hall '-P 2yb'
loop_
_atom_site_label
_atom_site_type_symbol
_atom_site_fract_x
_atom_site_fract_y
_atom_site_fract_z
Rb1 Rb 0.195 0.250 0.221
Ac1 Ac 0.333 0.750 0.851
Cd1 Cd 0.083 0.250 0.606
Se1 Se 0.111 0.250 0.861
Se2 Se 0.202 0.750 0.529
Se3 Se 0.449 0.750 0.151
# Theoretical density (g/cm³): 4.9
# Volume (A^3/atom): 37.16
# M_tot (μB/f.u.): 0.000
# Formation energy (no corrections) (eV/atom): -1.3793

---

2.
# PBE Rb3Ac2CdSe6, optimized geometry
data_Rb3Ac2CdSe6
_chemical_formula_sum 'Rb6 Ac4 Cd2 Se12'
_cell_length_a 7.750
_cell_length_b 13.431
_cell_length_c 8.517
_cell_angle_alpha 90.00
_cell_angle_beta 107.68
_cell_angle_gamma 90.00
_symmetry_space_group_name_H-M 'C 1 2/m 1'
_symmetry_Int_Tables_number 12
_symmetry_space_group_name_Hall '-C 2y'
loop_
_atom_site_label
_atom_site_type_symbol
_atom_site_fract_x
_atom_site_fract_y
_atom_site_fract_z
Rb1 Rb 0.000 0.000 0.000
Rb2 Rb 0.000 0.334 0.000
Ac1 Ac 0.000 0.167 0.500
Cd1 Cd 0.000 0.500 0.500
Se1 Se 0.228 0.341 0.705
Se2 Se 0.250 0.000 0.704
# Theoretical density (g/cm³): 5.1
# Volume (A^3/atom): 35.19
# M_tot (μB/f.u.): 0.900
# Formation energy (no corrections) (eV/atom): -1.3398

---

3.
# PBE RbAcCdSn, optimized geometry
data_RbAcCdSn
_chemical_formula_sum 'Rb4 Ac4 Cd4 Sn4'
_cell_length_a 8.334
_cell_length_b 8.334
_cell_length_c 8.334
_cell_angle_alpha 90.00
_cell_angle_beta 90.00
_cell_angle_gamma 90.00
_symmetry_space_group_name_H-M 'F -4 3 m'
_symmetry_Int_Tables_number 216
_symmetry_space_group_name_Hall 'F -4 2 3'
loop_
_atom_site_label
_atom_site_type_symbol
_atom_site_fract_x
_atom_site_fract_y
_atom_site_fract_z
Rb1 Rb 0.000 0.000 0.000
Ac1 Ac 0.000 0.000 0.500
Cd1 Cd 0.250 0.250 0.250
Sn1 Sn 0.250 0.250 0.750
# Theoretical density (g/cm³): 6.2
# Volume (A^3/atom): 36.18
# M_tot (μB/f.u.): 0.000
# Energy relative to the elements (eV per atom): -0.21

---

4.
# PBE RbAcCdTe3, optimized geometry
data_RbAcCdTe3
_chemical_formula_sum 'Rb2 Ac2 Cd2 Te6'
_cell_length_a 10.164
_cell_length_b 4.771
_cell_length_c 11.134
_cell_angle_alpha 90.00
_cell_angle_beta 105.69
_cell_angle_gamma 90.00
_symmetry_space_group_name_H-M 'P 1 21/m 1'
_symmetry_Int_Tables_number 11
_symmetry_space_group_name_Hall '-P 2yb'
loop_
_atom_site_label
_atom_site_type_symbol
_atom_site_fract_x
_atom_site_fract_y
_atom_site_fract_z
Rb1 Rb 0.208 0.250 0.237
Ac1 Ac 0.325 0.750 0.857
Cd1 Cd 0.083 0.250 0.608
Te1 Te 0.095 0.250 0.864
Te2 Te 0.210 0.750 0.532
Te3 Te 0.456 0.750 0.163
# Theoretical density (g/cm³): 5.2
# Volume (A^3/atom): 43.32
# M_tot (μB/f.u.): 0.000
# Formation energy (no corrections) (eV/atom): -1.1225

---

5.
# PBE Rb2AcCd2Te4, optimized geometry
data_Rb2AcCd2Te4
_chemical_formula_sum 'Rb4 Ac2 Cd4 Te8'
_cell_length_a 17.257
_cell_length_b 5.108
_cell_length_c 8.717
_cell_angle_alpha 90.00
_cell_angle_beta 109.07
_cell_angle_gamma 90.00
_symmetry_space_group_name_H-M 'C 1 2/m 1'
_symmetry_Int_Tables_number 12
_symmetry_space_group_name_Hall '-C 2y'
loop_
_atom_site_label
_atom_site_type_symbol
_atom_site_fract_x
_atom_site_fract_y
_atom_site_fract_z
Rb1 Rb 0.132 0.000 0.068
Ac1 Ac 0.000 0.000 0.500
Cd1 Cd 0.174 0.500 0.509
Te1 Te 0.013 0.500 0.254
Te2 Te 0.206 0.000 0.683
# Theoretical density (g/cm³): 5.2
# Volume (A^3/atom): 40.35
# M_tot (μB/f.u.): 0.000
# Formation energy (no corrections) (eV/atom): -0.9163

---

6.
# PBE Ac2CdRe, optimized geometry
data_Ac2CdRe
_chemical_formula_sum 'Ac6 Cd3 Re3'
_cell_length_a 3.4835
_cell_length_b 3.4835
_cell_length_c 34.6430
_cell_angle_alpha 90.00
_cell_angle_beta 90.00
_cell_angle_gamma 120.00
_symmetry_space_group_name_H-M 'R -3 m'
_symmetry_Int_Tables_number 166
_symmetry_space_group_name_Hall '-R 3 2"'
loop_
_atom_site_label
_atom_site_type_symbol
_atom_site_fract_x
_atom_site_fract_y
_atom_site_fract_z
Ac1 Ac 0.0000 0.0000 0.0791
Cd1 Cd 0.0000 0.0000 0.5000
Re1 Re 0.0000 0.0000 0.0000
# Theoretical density (g/cm³): 10.3
# Volume (A^3/atom): 30.34
# M_tot (μB/f.u.): 0.012
# Energy relative to the elements (eV per atom): 1.05

---

7.
# PBE Ac8CdRh4, optimized geometry
data_Ac8CdRh4
_chemical_formula_sum 'Ac16 Cd2 Rh8'
_cell_length_a 20.514
_cell_length_b 4.383
_cell_length_c 14.503
_cell_angle_alpha 90.00
_cell_angle_beta 134.96
_cell_angle_gamma 90.00
_symmetry_space_group_name_H-M 'C 1 2/m 1'
_symmetry_Int_Tables_number 12
_symmetry_space_group_name_Hall '-C 2y'
loop_
_atom_site_label
_atom_site_type_symbol
_atom_site_fract_x
_atom_site_fract_y
_atom_site_fract_z
Ac1 Ac 0.047 0.000 0.385
Ac2 Ac 0.136 0.500 0.961
Ac3 Ac 0.161 0.500 0.708
Ac4 Ac 0.176 0.500 0.310
Cd1 Cd 0.000 0.000 0.000
Rh1 Rh 0.155 0.000 0.838
Rh2 Rh 0.184 0.500 0.529
# Theoretical density (g/cm³): 8.4
# Volume (A^3/atom): 35.49
# M_tot (μB/f.u.): 0.000
# Energy relative to the elements (eV per atom): -0.51

---

8.
# PBE AcCdRh2, optimized geometry
data_AcCdRh2
_chemical_formula_sum 'Ac1 Cd1 Rh2'
_cell_length_a 3.562
_cell_length_b 3.562
_cell_length_c 6.615
_cell_angle_alpha 90.00
_cell_angle_beta 90.00
_cell_angle_gamma 90.00
_symmetry_space_group_name_H-M 'P 4/m m m'
_symmetry_Int_Tables_number 123
_symmetry_space_group_name_Hall '-P 4 2'
loop_
_atom_site_label
_atom_site_type_symbol
_atom_site_fract_x
_atom_site_fract_y
_atom_site_fract_z
Ac1 Ac 0.000 0.000 0.000
Cd1 Cd 0.000 0.000 0.500
Rh1 Rh 0.500 0.500 0.278
# Theoretical density (g/cm³): 10.8
# Volume (A^3/atom): 20.98
# Energy above the lowest structure with this stoichiometry (eV per atom): 0.1452
# M_tot (μB/f.u.): 0.000
# Energy relative to the elements (eV per atom): -0.26

---

9.
# PBE Ac2Cd2Rh3, optimized geometry
data_Ac2Cd2Rh3
_chemical_formula_sum 'Ac4 Cd4 Rh6'
_cell_length_a 13.026
_cell_length_b 3.944
_cell_length_c 6.781
_cell_angle_alpha 90.00
_cell_angle_beta 106.74
_cell_angle_gamma 90.00
_symmetry_space_group_name_H-M 'C 1 2/m 1'
_symmetry_Int_Tables_number 12
_symmetry_space_group_name_Hall '-C 2y'
loop_
_atom_site_label
_atom_site_type_symbol
_atom_site_fract_x
_atom_site_fract_y
_atom_site_fract_z
Ac1 Ac 0.189 0.000 0.235
Cd1 Cd 0.067 0.000 0.731
Rh1 Rh 0.000 0.500 0.000
Rh2 Rh 0.091 0.500 0.443
# Theoretical density (g/cm³): 9.8
# Volume (A^3/atom): 23.83
# M_tot (μB/f.u.): 0.000
# Energy relative to the elements (eV per atom): -0.38

---

10.
# PBE AcCd4Rh4, optimized geometry
data_AcCd4Rh4
_chemical_formula_sum 'Ac2 Cd8 Rh8'
_cell_length_a 8.668
_cell_length_b 8.668
_cell_length_c 5.422
_cell_angle_alpha 90.00
_cell_angle_beta 90.00
_cell_angle_gamma 90.00
_symmetry_space_group_name_H-M 'P 42/n'
_symmetry_Int_Tables_number 86
loop_
_symmetry_equiv_pos_as_xyz
'x,y,z'
'-x,-y,-z'
'-y,x+1/2,z+1/2'
'y,-x+1/2,-z+1/2'
'-x+1/2,-y+1/2,z'
'x+1/2,y+1/2,-z'
'y+1/2,-x,z+1/2'
'-y+1/2,x,-z+1/2'
loop_
_atom_site_label
_atom_site_type_symbol
_atom_site_fract_x
_atom_site_fract_y
_atom_site_fract_z
Ac1 Ac 0.250 0.250 0.250
Cd1 Cd 0.081 0.644 0.150
Rh1 Rh 0.048 0.612 0.650
# Theoretical density (g/cm³): 8.9
# Volume (A^3/atom): 22.63
# M_tot (μB/f.u.): 0.000
# Energy relative to the elements (eV per atom): 0.00

---

11.
# PBE AcCd10Rh2, optimized geometry
data_AcCd10Rh2
_chemical_formula_sum 'Ac4 Cd40 Rh8'
_cell_length_a 5.803
_cell_length_b 14.061
_cell_length_c 14.098
_cell_angle_alpha 90.00
_cell_angle_beta 90.00
_cell_angle_gamma 90.00
_symmetry_space_group_name_H-M 'F m m m'
_symmetry_Int_Tables_number 69
_symmetry_space_group_name_Hall '-F 2 2'
loop_
_atom_site_label
_atom_site_type_symbol
_atom_site_fract_x
_atom_site_fract_y
_atom_site_fract_z
Ac1 Ac 0.000 0.000 0.000
Cd1 Cd 0.000 0.114 0.396
Cd2 Cd 0.000 0.183 0.163
Cd3 Cd 0.250 0.000 0.250
Rh1 Rh 0.250 0.250 0.000
# Theoretical density (g/cm³): 9.0
# Volume (A^3/atom): 22.12
# M_tot (μB/f.u.): 0.000
# Energy relative to the elements (eV per atom): -0.16

---

12.
# PBE AcCd4Rh2, optimized geometry
data_AcCd4Rh2
_chemical_formula_sum 'Ac2 Cd8 Rh4'
_cell_length_a 8.616
_cell_length_b 8.616
_cell_length_c 4.176
_cell_angle_alpha 90.00
_cell_angle_beta 90.00
_cell_angle_gamma 90.00
_symmetry_space_group_name_H-M 'P 42/m n m'
_symmetry_Int_Tables_number 136
_symmetry_space_group_name_Hall '-P 4n 2n'
loop_
_atom_site_label
_atom_site_type_symbol
_atom_site_fract_x
_atom_site_fract_y
_atom_site_fract_z
Ac1 Ac 0.000 0.000 0.000
Cd1 Cd 0.098 0.342 0.500
Rh1 Rh 0.186 0.814 0.500
# Theoretical density (g/cm³): 9.5
# Volume (A^3/atom): 22.15
# Energy above the lowest structure with this stoichiometry (eV per atom): 0.0000
# M_tot (μB/f.u.): 0.000
# Energy relative to the elements (eV per atom): -0.35